Tc2OsPbBr GGA-PBE optimized geometry; uncorrected formation energy = 1782 meV/atom; symmetry = No. 123; total moment = 1.524 Bohr magnetons per cell
1.0
-1.7677 -4.1915 0.9713
4.1889 -1.4331 1.4394
-0.9969 1.4206 4.3157
Tc Os Pb Br
2 1 1 1
Cartesian
-0.4985 0.7103 2.1578 Tc
-0.8839 -2.0957 0.4857 Tc
2.0945 -0.7166 0.7197 Os
0.7121 -2.1020 3.3632 Pb
0.0000 0.0000 0.0000 Br